# 1
An optimized crystal structure of Nd3BiRh, computed with PBE.

The structure in POSCAR format:
```
Nd3BiRh
1.0
5.490 0.000 0.000
0.000 5.490 0.000
0.000 0.000 5.490
Nd Bi Rh
3 1 1
Direct
0.000 0.000 0.500
0.000 0.500 0.000
0.500 0.000 0.000
0.500 0.500 0.500
0.000 0.000 0.000
```

Output
For the density of states at the Fermi level, the calculation gives 1.042 states/eV/atom. The value obtained for the energy relative to the elements is -470 meV/atom. The total magnetic moment comes out at 0.0 μB per formula unit.


# 2
An optimized crystal structure of La2TlInIr, computed with PBE.

The structure in POSCAR format:
```
La2TlInIr
1.0
8.135 0.000 0.000
0.000 4.451 0.000
-2.773 0.000 7.763
La Tl In Ir
4 2 2 2
Direct
0.024 0.250 0.220
0.327 0.750 0.606
0.673 0.250 0.394
0.976 0.750 0.780
0.328 0.750 0.193
0.672 0.250 0.807
0.343 0.250 0.946
0.657 0.750 0.054
0.098 0.250 0.619
0.902 0.750 0.381
```

Output
For the density of states at the Fermi level, the calculation gives 0.464 states/eV/atom. The value obtained for the energy relative to the elements is -579 meV/atom. The total magnetic moment comes out at 0.0 μB per formula unit.


# 3
An optimized crystal structure of HfCoPt2, computed with PBE.

The structure in POSCAR format:
```
HfCoPt2
1.0
-1.917 1.917 9.097
1.917 -1.917 9.097
1.917 1.917 -9.097
Hf Co Pt
2 2 4
Direct
0.000 0.000 0.000
0.750 0.250 0.500
0.250 0.750 0.500
0.500 0.500 0.000
0.141 0.625 0.016
0.375 0.391 0.516
0.609 0.125 0.984
0.875 0.859 0.484
```

Output
For the density of states at the Fermi level, the calculation gives 0.834 states/eV/atom. The value obtained for the energy relative to the elements is -304 meV/atom. The total magnetic moment comes out at 0.6 μB per formula unit.


# 4
An optimized crystal structure of SrAlFeGe2, computed with PBE.

The structure in POSCAR format:
```
SrAlFeGe2
1.0
4.676 0.000 0.000
0.000 4.676 0.000
0.000 0.000 5.443
Sr Al Fe Ge
1 1 1 2
Direct
0.000 0.000 0.000
0.500 0.500 0.000
0.000 0.000 0.500
0.000 0.500 0.500
0.500 0.000 0.500
```

Output
For the density of states at the Fermi level, the calculation gives 1.954 states/eV/atom. The value obtained for the energy relative to the elements is 249 meV/atom. The total magnetic moment comes out at 0.0 μB per formula unit.


# 5
An optimized crystal structure of BaLi3O3, computed with PBE.

The structure in POSCAR format:
```
BaLi3O3
1.0
7.339 0.000 0.000
-3.670 6.356 0.000
0.000 0.000 3.749
Ba Li O
2 6 6
Direct
0.333 0.667 0.250
0.667 0.333 0.750
0.008 0.234 0.250
0.226 0.992 0.250
0.234 0.226 0.750
0.766 0.774 0.250
0.774 0.008 0.750
0.992 0.766 0.750
0.037 0.323 0.750
0.286 0.963 0.750
0.323 0.286 0.250
0.677 0.714 0.750
0.714 0.037 0.250
0.963 0.677 0.250
```

Output
For the density of states at the Fermi level, the calculation gives 0.562 states/eV/atom. The total magnetic moment comes out at 1.0 μB per formula unit. The formation energy without anion corrections comes out at -1739 meV per atom.


# 6
An optimized crystal structure of Pm3PtSe2, computed with PBE.

The structure in POSCAR format:
```
Pm3PtSe2
1.0
-2.047 3.019 6.467
2.047 -3.019 6.467
2.047 3.019 -6.467
Pm Pt Se
3 1 2
Direct
0.000 0.000 0.000
0.344 0.344 0.000
0.656 0.656 0.000
0.500 0.000 0.500
0.170 0.670 0.500
0.830 0.330 0.500
```

Output
For the density of states at the Fermi level, the calculation gives 1.073 states/eV/atom. The total magnetic moment comes out at 0.0 μB per formula unit. The formation energy without anion corrections comes out at -1571 meV per atom.


# 7
An optimized crystal structure of NaLiTe2N, computed with PBE.

The structure in POSCAR format:
```
NaLiTe2N
1.0
5.646 0.000 0.000
0.000 5.646 0.000
0.000 0.000 4.579
Na Li Te N
1 1 2 1
Direct
0.000 0.000 0.000
0.500 0.500 0.500
0.000 0.500 0.000
0.500 0.000 0.000
0.000 0.000 0.500
```

Output
For the density of states at the Fermi level, the calculation gives 0.796 states/eV/atom. The total magnetic moment comes out at 3.0 μB per formula unit. The formation energy without anion corrections comes out at 858 meV per atom.


# 8
An optimized crystal structure of Tb2Nd4Ho, computed with PBE.

The structure in POSCAR format:
```
Tb2Nd4Ho
1.0
3.580 0.000 0.000
-1.787 8.564 0.000
-0.013 -4.358 7.765
Tb Nd Ho
2 4 1
Direct
0.070 0.141 0.429
0.930 0.859 0.571
0.297 0.593 0.708
0.361 0.725 0.164
0.639 0.275 0.836
0.703 0.407 0.292
0.000 0.000 0.000
```

Output
For the density of states at the Fermi level, the calculation gives 1.542 states/eV/atom. The value obtained for the energy relative to the elements is 42 meV/atom. The total magnetic moment comes out at 0.0 μB per formula unit.


# 9
An optimized crystal structure of Ba2Tl2Zn2Cu3O10, computed with PBE.

The structure in POSCAR format:
```
Ba2Tl2Zn2Cu3O10
1.0
3.726 0.000 0.000
0.000 3.733 0.000
-1.856 -1.866 19.299
Ba Tl Zn Cu O
2 2 2 3 10
Direct
0.000 0.000 0.000
0.287 0.283 0.568
0.424 0.390 0.847
0.862 0.827 0.722
0.102 0.100 0.196
0.192 0.187 0.372
0.562 0.563 0.122
0.648 0.643 0.284
0.729 0.723 0.446
0.073 0.574 0.145
0.166 0.661 0.319
0.241 0.734 0.470
0.368 0.415 0.735
0.478 0.482 0.956
0.549 0.051 0.099
0.629 0.126 0.249
0.718 0.211 0.423
0.809 0.809 0.613
0.917 0.965 0.834
```

Output
For the density of states at the Fermi level, the calculation gives 0.205 states/eV/atom. The total magnetic moment comes out at 1.0 μB per formula unit. The formation energy without anion corrections comes out at -1130 meV per atom.


# 10
An optimized crystal structure of PdPt4Pb7, computed with PBE.

The structure in POSCAR format:
```
PdPt4Pb7
1.0
6.831 -1.914 0.000
6.831 1.914 0.000
-2.959 0.000 11.441
Pd Pt Pb
1 4 7
Direct
0.000 0.000 0.000
0.113 0.113 0.414
0.227 0.227 0.830
0.407 0.407 0.604
0.820 0.820 0.223
0.065 0.065 0.631
0.162 0.162 0.198
0.365 0.365 0.055
0.456 0.456 0.370
0.615 0.615 0.915
0.770 0.770 0.459
0.862 0.862 0.775
```

Output
For the density of states at the Fermi level, the calculation gives 0.458 states/eV/atom. The value obtained for the energy relative to the elements is -139 meV/atom. The total magnetic moment comes out at 0.0 μB per formula unit.


# 11
An optimized crystal structure of ZnSi2Cl, computed with PBE.

The structure in POSCAR format:
```
ZnSi2Cl
1.0
1.741 -2.552 0.000
1.741 2.552 0.000
0.000 0.000 9.134
Zn Si Cl
1 2 1
Direct
0.000 0.000 0.000
0.000 0.000 0.586
0.500 0.500 0.781
0.500 0.500 0.176
```

Output
For the density of states at the Fermi level, the calculation gives 0.396 states/eV/atom. The total magnetic moment comes out at 0.0 μB per formula unit. The formation energy without anion corrections comes out at 211 meV per atom.


# 12
An optimized crystal structure of AlGa2CoN, computed with PBE.

The structure in POSCAR format:
```
AlGa2CoN
1.0
4.392 0.000 0.000
0.000 4.392 0.000
0.000 0.000 3.534
Al Ga Co N
1 2 1 1
Direct
0.000 0.000 0.000
0.000 0.500 0.500
0.500 0.000 0.500
0.500 0.500 0.000
0.000 0.000 0.500
```

Output
For the density of states at the Fermi level, the calculation gives 0.495 states/eV/atom. The total magnetic moment comes out at 0.8 μB per formula unit. The formation energy without anion corrections comes out at 297 meV per atom.


# 13
An optimized crystal structure of Ti4Ge3H2, computed with PBE.

The structure in POSCAR format:
```
Ti4Ge3H2
1.0
4.886 -1.875 0.000
4.886 1.875 0.000
-3.366 0.000 6.493
Ti Ge H
4 3 2
Direct
0.116 0.116 0.399
0.303 0.303 0.894
0.697 0.697 0.106
0.884 0.884 0.601
0.000 0.000 0.000
0.386 0.386 0.315
0.614 0.614 0.685
0.317 0.317 0.633
0.683 0.683 0.367
```

Output
Its total energy is -6.294 eV/atom. For the density of states at the Fermi level, the calculation gives 0.324 states/eV/atom. The total magnetic moment comes out at 0.0 μB per formula unit.